Record 1
USb2Pd | PBE-GGA | optimized geometry

abc: 3.4458 3.4458 7.6268
angles: 90.00 90.00 90.00
Sites, in units of the cell vectors:
1 U 0.5000 0.5000 0.5000
2 Sb 0.0000 0.0000 0.2208
3 Sb 0.0000 0.0000 0.7792
4 Pd 0.5000 0.5000 0.0000

## Properties
Size of the total moment in μB per atom: 0.7672
DFT total energy in eV per atom: -6.252

Record 2
K2GaSn2 | PBE-GGA | optimized geometry

abc: 7.4882 7.4882 5.9432
angles: 90.00 90.00 90.00
Sites, in units of the cell vectors:
1 Sn 0.1412 0.3588 0.0000
2 Sn 0.8588 0.6412 0.0000
3 Sn 0.3588 0.8588 0.0000
4 Sn 0.6412 0.1412 0.0000
5 K 0.6729 0.8271 0.5000
6 K 0.8271 0.3271 0.5000
7 K 0.1729 0.6729 0.5000
8 K 0.3271 0.1729 0.5000
9 Ga 0.0000 0.0000 0.0000
10 Ga 0.5000 0.5000 0.0000

## Properties
Size of the total moment in μB per atom: 0.0000
Formation enthalpy at 0 K in eV/atom: -0.1059

Record 3
CaMnZn2 | PBE-GGA | optimized geometry

abc: 4.6287 4.6287 9.5886
angles: 76.03 76.03 90.00
Sites, in units of the cell vectors:
1 Ca 0.5000 0.5000 0.0000
2 Ca 0.2500 0.7500 0.5000
3 Zn 0.8750 0.0377 0.7500
4 Zn 0.7877 0.1250 0.2500
5 Zn 0.9623 0.6250 0.2500
6 Zn 0.3750 0.2123 0.7500
7 Mn 0.0000 0.0000 0.0000
8 Mn 0.7500 0.2500 0.5000

## Properties
Size of the total moment in μB per atom: 0.9216
Formation enthalpy at 0 K in eV/atom: 0.3070

Record 4
TiRhAuCl2 | PBE-GGA | optimized geometry

abc: 4.6741 4.9939 4.6741
angles: 90.00 90.00 90.00
Sites, in units of the cell vectors:
1 Rh 0.0000 0.0000 0.0000
2 Ti 0.0000 0.5000 0.0000
3 Au 0.5000 0.5000 0.5000
4 Cl 0.0000 0.0000 0.5000
5 Cl 0.5000 0.0000 0.0000

## Properties
Size of the total moment in μB per atom: 0.2320
DFT total energy in eV per atom: -4.196

Record 5
CsPu2InSe4 | PBE-GGA | optimized geometry

abc: 4.3086 7.7206 16.4414
angles: 90.00 90.00 106.20
Sites, in units of the cell vectors:
1 Se 0.7445 0.4890 0.5890
2 Se 0.7445 0.4890 0.9110
3 Se 0.0000 0.0000 0.0000
4 Se 0.2555 0.5110 0.0890
5 Se 0.0000 0.0000 0.5000
6 Se 0.4193 0.8387 0.7500
7 Se 0.5807 0.1613 0.2500
8 Se 0.2555 0.5110 0.4110
9 Pu 0.6288 0.2575 0.0515
10 Pu 0.3712 0.7425 0.5515
11 Pu 0.3712 0.7425 0.9485
12 Pu 0.6288 0.2575 0.4485
13 In 0.1949 0.3897 0.2500
14 In 0.8051 0.6103 0.7500
15 Cs 0.1041 0.2081 0.7500
16 Cs 0.8959 0.7919 0.2500

## Properties
Size of the total moment in μB per atom: 1.3536
DFT total energy in eV per atom: -6.872

Record 6
Cr2RuAu | PBE-GGA | optimized geometry

abc: 2.6898 2.6898 7.6952
angles: 90.00 90.00 90.00
Sites, in units of the cell vectors:
1 Ru 0.5000 0.5000 0.2500
2 Au 0.5000 0.5000 0.7500
3 Cr 0.0000 0.0000 0.0222
4 Cr 0.0000 0.0000 0.4778

## Properties
Size of the total moment in μB per atom: 0.0001
Formation enthalpy at 0 K in eV/atom: 0.2673